First-principles (PBE) data for a geometry-optimized Al2CuP2 structure, as listed in Alexandria via LeMat-Bulk.

## Properties
Energy (Ha/atom): -0.158
Energy relative to the lowest polymorph listed for this composition (eV/atom): 0.164
Formation enthalpy at 0 K (kJ/mol of formula units): 84

a = 3.882 Å, b = 3.882 Å, c = 11.767 Å
α = 90.00°, β = 90.00°, γ = 90.00°
Space group I4/mmm (No. 139)
One atom of each set of equivalent atoms:
Al1 0.000 0.500 0.250
Cu1 0.000 0.000 0.000
P1 0.000 0.000 0.375

---

First-principles (PBE) data for a geometry-optimized AlCuP structure, as listed in Alexandria via LeMat-Bulk.

## Properties
Energy (Ha/atom): -0.162
Formation enthalpy at 0 K (kJ/mol of formula units): 1

a = 5.741 Å, b = 5.741 Å, c = 5.741 Å
α = 90.00°, β = 90.00°, γ = 90.00°
Space group F-43m (No. 216)
One atom of each set of equivalent atoms:
Al1 0.000 0.000 0.000
Cu1 0.250 0.250 0.750
P1 0.000 0.000 0.500

---

First-principles (PBE) data for a geometry-optimized AlCuP structure, as listed in Alexandria via LeMat-Bulk.

## Properties
Energy (Ha/atom): -0.166
Formation enthalpy at 0 K (kJ/mol of formula units): -29

a = 6.223 Å, b = 4.339 Å, c = 7.940 Å
α = 90.00°, β = 116.61°, γ = 90.00°
Space group P2_1/c (No. 14)
One atom of each set of equivalent atoms:
Al1 0.123 0.235 0.463
Cu1 0.422 0.017 0.819
P1 0.248 0.531 0.756

---

First-principles (PBE) data for a geometry-optimized AlCu4P structure, as listed in Alexandria via LeMat-Bulk.

## Properties
Energy (Ha/atom): -0.152
Formation enthalpy at 0 K (kJ/mol of formula units): 69

a = 6.862 Å, b = 6.862 Å, c = 6.862 Å
α = 90.00°, β = 90.00°, γ = 90.00°
Space group F-43m (No. 216)
One atom of each set of equivalent atoms:
Al1 0.000 0.000 0.000
Cu1 0.125 0.125 0.625
P1 0.250 0.250 0.250

---

First-principles (PBE) data for a geometry-optimized AlCuP structure, as listed in Alexandria via LeMat-Bulk.

## Properties
Energy (Ha/atom): -0.156
Formation enthalpy at 0 K (kJ/mol of formula units): 46

a = 2.796 Å, b = 2.796 Å, c = 10.862 Å
α = 90.00°, β = 90.00°, γ = 90.00°
Space group I4mm (No. 107)
One atom of each set of equivalent atoms:
Al1 0.000 0.000 0.000
Cu1 0.000 0.000 0.339
P1 0.000 0.000 0.684

---

First-principles (PBE) data for a geometry-optimized AlCuP structure, as listed in Alexandria via LeMat-Bulk.

## Properties
Energy (Ha/atom): -0.161
Formation enthalpy at 0 K (kJ/mol of formula units): 11

a = 3.1657 Å, b = 3.1657 Å, c = 5.1567 Å
α = 90.00°, β = 90.00°, γ = 120.00°
Space group P3m1 (No. 156)
One atom of each set of equivalent atoms:
Al1 0.0000 0.0000 0.0000
Cu1 0.6667 0.3333 0.3567
P1 0.3333 0.6667 0.6609

---

no.,mass density (g cm⁻³)
1,3.4
2,4.3
3,4.2
4,6.4
5,4.8
6,4.5